DFT (PBE-GGA) results for crystalline CsZn2TeBr8 at its relaxed geometry.

Cell: 11.874 11.874 11.874 Å, 33.37 33.37 33.37°
Sites, in units of the cell vectors:
Cs  0.000  0.000  0.000
Zn  0.244  0.244  0.244
Zn  0.756  0.756  0.756
Te  0.500  0.500  0.500
Br  0.120  0.784  0.434
Br  0.216  0.566  0.880
Br  0.315  0.315  0.315
Br  0.434  0.120  0.784
Br  0.566  0.880  0.216
Br  0.685  0.685  0.685
Br  0.784  0.434  0.120
Br  0.880  0.216  0.566

Formation energy (no corrections) in eV per atom: -0.748

---

DFT (PBE-GGA) results for crystalline LaAg12 at its relaxed geometry.

Cell: 7.355 7.355 7.355 Å, 98.24 98.24 135.51°
Sites, in units of the cell vectors:
La  0.000  0.000  0.000
Ag  0.000  0.000  0.500
Ag  0.000  0.352  0.352
Ag  0.000  0.500  0.000
Ag  0.000  0.648  0.648
Ag  0.283  0.500  0.783
Ag  0.352  0.000  0.352
Ag  0.500  0.000  0.000
Ag  0.500  0.283  0.783
Ag  0.500  0.500  0.500
Ag  0.500  0.717  0.217
Ag  0.648  0.000  0.648
Ag  0.717  0.500  0.217

Formation energy from the elements in meV/atom: -48

---

DFT (PBE-GGA) results for crystalline Tb2PmPrAs4 at its relaxed geometry.

Cell: 7.283 4.209 7.286 Å, 90.00 109.47 90.00°
Sites, in units of the cell vectors:
Tb  0.000  0.000  0.000
Tb  0.000  0.500  0.500
Pm  0.500  0.000  0.500
Pr  0.500  0.500  0.000
As  0.241  0.000  0.745
As  0.243  0.500  0.249
As  0.757  0.500  0.751
As  0.759  0.000  0.255

Formation energy from the elements in meV/atom: -1523

---

DFT (PBE-GGA) results for crystalline Ac2Ag2SnO6 at its relaxed geometry.

Cell: 6.506 6.506 6.445 Å, 94.90 94.90 121.46°
Sites, in units of the cell vectors:
Ac  0.163  0.837  0.000
Ac  0.837  0.163  0.000
Ag  0.359  0.641  0.500
Ag  0.641  0.359  0.500
Sn  0.500  0.500  0.000
O  0.183  0.183  0.854
O  0.249  0.542  0.175
O  0.458  0.751  0.825
O  0.542  0.249  0.175
O  0.751  0.458  0.825
O  0.817  0.817  0.146

Formation energy (no corrections) in eV per atom: -1.905

---

DFT (PBE-GGA) results for crystalline PrCuSnRh at its relaxed geometry.

Cell: 4.840 4.840 4.840 Å, 60.00 60.00 60.00°
Sites, in units of the cell vectors:
Pr  0.000  0.000  0.000
Cu  0.250  0.250  0.250
Sn  0.500  0.500  0.500
Rh  0.750  0.750  0.750

Formation energy from the elements in meV/atom: -424

---

DFT (PBE-GGA) results for crystalline Y2CdOsC at its relaxed geometry.

Cell: 5.032 5.032 3.938 Å, 90.00 90.00 90.00°
Sites, in units of the cell vectors:
Y  0.000  0.500  0.000
Y  0.500  0.000  0.000
Cd  0.000  0.000  0.500
Os  0.500  0.500  0.500
C  0.500  0.500  0.000

Formation energy from the elements in meV/atom: -402

---

DFT (PBE-GGA) results for crystalline Nd12Cd3C5 at its relaxed geometry.

Cell: 14.307 14.307 14.307 Å, 109.47 109.47 109.47°
Sites, in units of the cell vectors:
Nd  0.017  0.200  0.112
Nd  0.017  0.317  0.905
Nd  0.089  0.700  0.683
Nd  0.089  0.888  0.405
Nd  0.095  0.612  0.411
Nd  0.095  0.983  0.683
Nd  0.112  0.017  0.200
Nd  0.112  0.595  0.911
Nd  0.183  0.200  0.589
Nd  0.183  0.483  0.595
Nd  0.200  0.112  0.017
Nd  0.200  0.589  0.183
Nd  0.300  0.317  0.911
Nd  0.300  0.483  0.388
Nd  0.317  0.905  0.017
Nd  0.317  0.911  0.300
Nd  0.388  0.300  0.483
Nd  0.388  0.589  0.905
Nd  0.405  0.089  0.888
Nd  0.405  0.817  0.517
Nd  0.411  0.095  0.612
Nd  0.411  0.817  0.800
Nd  0.483  0.388  0.300
Nd  0.483  0.595  0.183
Nd  0.517  0.405  0.817
Nd  0.517  0.612  0.700
Nd  0.589  0.183  0.200
Nd  0.589  0.905  0.388
Nd  0.595  0.183  0.483
Nd  0.595  0.911  0.112
Nd  0.612  0.411  0.095
Nd  0.612  0.700  0.517
Nd  0.683  0.089  0.700
Nd  0.683  0.095  0.983
Nd  0.700  0.517  0.612
Nd  0.700  0.683  0.089
Nd  0.800  0.411  0.817
Nd  0.800  0.888  0.983
Nd  0.817  0.517  0.405
Nd  0.817  0.800  0.411
Nd  0.888  0.405  0.089
Nd  0.888  0.983  0.800
Nd  0.905  0.017  0.317
Nd  0.905  0.388  0.589
Nd  0.911  0.112  0.595
Nd  0.911  0.300  0.317
Nd  0.983  0.683  0.095
Nd  0.983  0.800  0.888
Cd  0.125  0.250  0.375
Cd  0.125  0.375  0.750
Cd  0.250  0.375  0.125
Cd  0.250  0.875  0.625
Cd  0.375  0.125  0.250
Cd  0.375  0.750  0.125
Cd  0.625  0.250  0.875
Cd  0.625  0.875  0.750
Cd  0.750  0.125  0.375
Cd  0.750  0.625  0.875
Cd  0.875  0.625  0.250
Cd  0.875  0.750  0.625
C  0.000  0.000  0.000
C  0.000  0.000  0.500
C  0.000  0.500  0.000
C  0.000  0.500  0.500
C  0.125  0.750  0.875
C  0.125  0.875  0.250
C  0.250  0.125  0.875
C  0.250  0.625  0.375
C  0.375  0.250  0.625
C  0.375  0.625  0.750
C  0.500  0.000  0.000
C  0.500  0.000  0.500
C  0.500  0.500  0.000
C  0.500  0.500  0.500
C  0.625  0.375  0.250
C  0.625  0.750  0.375
C  0.750  0.375  0.625
C  0.750  0.875  0.125
C  0.875  0.125  0.750
C  0.875  0.250  0.125

Formation energy from the elements in meV/atom: 50

---

DFT (PBE-GGA) results for crystalline Dy3Tl3Hg2 at its relaxed geometry.

Cell: 8.270 8.270 3.613 Å, 90.00 90.00 120.00°
Sites, in units of the cell vectors:
Dy  0.000  0.616  0.000
Dy  0.384  0.384  0.000
Dy  0.616  0.000  0.000
Tl  0.000  0.239  0.500
Tl  0.239  0.000  0.500
Tl  0.761  0.761  0.500
Hg  0.333  0.667  0.500
Hg  0.667  0.333  0.500

Formation energy from the elements in meV/atom: -327

---

These records have density of states at the Fermi level values of 6.27, 5.22, 0.79, 0.00, 3.73, 1.39, 74.60, 4.73 states/eV per cell, in the order they appear.
These records have uncorrected energy values of -28.9, -39.8, -49.6, -68.6, -21.9, -36.3, -420.3, -24.1 eV/cell, in the order they appear.
These records have magnetic moment values of 0.087, 0.000, 0.000, 0.000, 0.000, 0.000, 0.000, 0.000 μB per atom, in the order they appear.